[1]
Computed, not measured: crystalline LaUN3 at its relaxed geometry at the GGA-PBE level of DFT.

abc: 10.421 5.963 10.405
angles: 90.00 109.00 90.00
Space group C2/c (No. 15)
Symmetry-distinct sites (fractional):
La1 0.132 0.249 0.132
U1 0.000 0.250 0.750
U2 0.250 0.250 0.500
N1 0.074 0.249 0.575
N2 0.154 0.000 0.347
N3 0.154 0.499 0.347

Summary:
Calculated total energy   -387.79 eV per cell
Spin magnetization   0.000 μB per atom

[2]
Computed, not measured: crystalline LaU2N4 at its relaxed geometry at the GGA-PBE level of DFT.

abc: 3.477 11.430 10.809
angles: 90.00 90.00 90.00
Space group Cmcm (No. 63)
Symmetry-distinct sites (fractional):
La1 0.000 0.108 0.250
U1 0.000 0.369 0.069
N1 0.000 0.000 0.000
N2 0.000 0.268 0.601
N3 0.000 0.452 0.250

Summary:
Calculated total energy   -282.07 eV per cell
Spin magnetization   0.368 μB per atom

[3]
Computed, not measured: crystalline La3UN4 at its relaxed geometry at the GGA-PBE level of DFT.

abc: 7.323 10.305 3.634
angles: 90.00 90.00 90.00
Space group Cmmm (No. 65)
Symmetry-distinct sites (fractional):
La1 0.000 0.000 0.000
La2 0.250 0.250 0.500
U1 0.000 0.500 0.000
N1 0.000 0.287 0.000
N2 0.208 0.500 0.500

Summary:
Calculated total energy   -140.86 eV per cell
Spin magnetization   0.000 μB per atom
Offset from the most stable computed form   0.011 eV per atom

[4]
Computed, not measured: crystalline LaUN3 at its relaxed geometry at the GGA-PBE level of DFT.

abc: 4.283 4.283 4.283
angles: 90.00 90.00 90.00
Space group Pm-3m (No. 221)
Symmetry-distinct sites (fractional):
La1 0.000 0.000 0.000
U1 0.500 0.500 0.500
N1 0.000 0.500 0.500

Summary:
Calculated total energy   -47.80 eV per cell
Spin magnetization   0.000 μB per atom

[5]
Computed, not measured: crystalline LaUN3 at its relaxed geometry at the GGA-PBE level of DFT.

abc: 13.412 3.612 7.447
angles: 90.00 106.41 90.00
Space group C2/m (No. 12)
Symmetry-distinct sites (fractional):
La1 0.112 0.000 0.319
U1 0.160 0.500 0.824
N1 0.002 0.500 0.738
N2 0.176 0.000 0.020
N3 0.186 0.000 0.661

Summary:
Calculated total energy   -190.40 eV per cell
Spin magnetization   0.000 μB per atom

[6]
Computed, not measured: crystalline La3UN5 at its relaxed geometry at the GGA-PBE level of DFT.

abc: 6.973 6.973 12.684
angles: 90.00 90.00 90.00
Space group I4/mcm (No. 140)
Symmetry-distinct sites (fractional):
La1 0.000 0.000 0.250
La2 0.181 0.319 0.000
U1 0.000 0.500 0.250
N1 0.000 0.000 0.000
N2 0.162 0.338 0.353

Summary:
Calculated total energy   -306.67 eV per cell
Spin magnetization   0.000 μB per atom

Number 1: formation energy (no corrections) -1.46 eV per atom. Number 2: formation energy (no corrections) -1.39 eV per atom. Number 3: formation energy (no corrections) -1.38 eV per atom. Number 4: formation energy (no corrections) -1.32 eV per atom. Number 5: formation energy (no corrections) -1.28 eV per atom. Number 6: formation energy (no corrections) -1.00 eV per atom.